A geometry-optimized Ta4CN structure. Source: the Alexandria database, functional PBE-GGA.

Lattice parameters (Å, degrees): 3.113 5.414 9.832 90.24 90.00 90.00
Atoms (fractional coordinates):
Ta (0.000, 0.666, 0.374)
Ta (0.500, 0.832, 0.627)
Ta (0.000, 0.334, 0.626)
Ta (0.500, 0.834, 0.126)
Ta (0.500, 0.168, 0.373)
Ta (0.500, 0.166, 0.874)
Ta (0.000, 0.668, 0.873)
Ta (0.000, 0.332, 0.127)
C (0.000, 0.000, 0.000)
C (0.500, 0.500, 0.500)
N (0.500, 0.500, 0.000)
N (0.000, 0.000, 0.500)

Values from the calculation:
Formation energy from raw total energies, eV/atom: -0.727
ΔE to the lowest computed polymorph, meV per atom: 0
E, eV per atom: -11.554